(1)
This record from the Alexandria database describes Y2CoCu after structural relaxation. The functional is PBE.

Properties
formation enthalpy at 0 K: -26 meV per atom
crystal system: monoclinic
final energy: -24.24 eV/f.u.

Structure (POSCAR):
```
Y2CoCu
1.0
5.7675 -1.6899 0.0000
5.7675 1.6899 0.0000
-1.7589 0.0000 4.1567
Y Co Cu
2 1 1
Cartesian
0.0000 0.0000 0.0000
1.2121 0.0000 2.9640
8.2288 0.0000 1.0408
4.1288 0.0000 1.7575
```


(2)
This record from the Alexandria database describes Y2CoCu after structural relaxation. The functional is PBE.

Properties
formation enthalpy at 0 K: -222 meV per atom
crystal system: monoclinic
final energy: -25.02 eV/f.u.

Structure (POSCAR):
```
Y2CoCu
1.0
5.6060 0.0000 0.0000
0.0000 4.0985 0.0000
-2.7298 0.0000 7.2536
Y Co Cu
4 2 2
Cartesian
0.0090 1.0246 3.1752
-1.2656 1.0246 6.6845
4.1418 3.0739 0.5691
2.8672 3.0739 4.0784
0.0829 3.0739 5.2100
2.7934 1.0246 2.0436
1.4200 3.0739 1.5541
1.4562 1.0246 5.6995
```


(3)
This record from the Alexandria database describes Y3Co7Cu2 after structural relaxation. The functional is PBE.

Properties
formation enthalpy at 0 K: -163 meV per atom
crystal system: trigonal
final energy: -79.28 eV/f.u.

Structure (POSCAR):
```
Y3Co7Cu2
1.0
2.4870 1.4358 8.2921
-2.4870 1.4358 8.2921
0.0000 -2.8717 8.2921
Y Co Cu
3 7 2
Cartesian
0.0000 0.0000 0.0000
0.0000 0.0000 3.4689
0.0000 0.0000 21.4075
-1.2450 -0.7188 10.3496
0.0000 -1.4377 14.5268
-1.2450 0.7188 14.5268
0.0000 0.0000 12.4382
1.2450 -0.7188 10.3496
0.0000 1.4377 10.3496
1.2450 0.7188 14.5268
0.0000 0.0000 8.2967
0.0000 0.0000 16.5797
```


(4)
This record from the Alexandria database describes Y2CoCu2 after structural relaxation. The functional is PBE.

Properties
formation enthalpy at 0 K: 110 meV per atom
crystal system: tetragonal
final energy: -27.68 eV/f.u.

Structure (POSCAR):
```
Y2CoCu2
1.0
-2.6640 2.6640 3.6031
2.6640 -2.6640 3.6031
2.6640 2.6640 -3.6031
Y Co Cu
2 1 2
Cartesian
2.6640 0.0000 1.8015
0.0000 2.6640 1.8015
0.0000 0.0000 0.0000
0.0000 0.0000 2.4776
0.0000 0.0000 4.7286
```


formation enthalpy at 0 K of number 2 (Y2CoCu)?
-222 meV per atom


The highest final energy belongs to which entry?
number 1


What did the fourth record say?
This record from the Alexandria database describes Y2CoCu2 after structural relaxation. The functional is PBE.

Properties
formation enthalpy at 0 K: 110 meV per atom
crystal system: tetragonal
final energy: -27.68 eV/f.u.

Structure (POSCAR):
```
Y2CoCu2
1.0
-2.6640 2.6640 3.6031
2.6640 -2.6640 3.6031
2.6640 2.6640 -3.6031
Y Co Cu
2 1 2
Cartesian
2.6640 0.0000 1.8015
0.0000 2.6640 1.8015
0.0000 0.0000 0.0000
0.0000 0.0000 2.4776
0.0000 0.0000 4.7286
```